# KRhPb2 meta-GGA SCAN PBEsol geometry
data_KRhPb2
_chemical_formula_sum 'K1 Rh1 Pb2'
_symmetry_space_group_name_H-M 'P 4/m m m'
_symmetry_Int_Tables_number 123
_symmetry_space_group_name_Hall '-P 4 2'
_cell_length_a 3.440
_cell_length_b 3.440
_cell_length_c 8.367
_cell_angle_alpha 90.00
_cell_angle_beta 90.00
_cell_angle_gamma 90.00
loop_
_atom_site_label
_atom_site_type_symbol
_atom_site_fract_x
_atom_site_fract_y
_atom_site_fract_z
K1 K 0.000 0.000 0.000
Rh1 Rh 0.000 0.000 0.500
Pb1 Pb 0.500 0.500 0.315
# Total magnetization   0.00 μB/cell
# E_tot   -194.23 eV/cell
# Energy of formation from the pure elements   -0.14 eV/atom